The following is a DFT calculation (GGA-PBE) of a geometry-optimized ZrCoP2 structure.

Cell and atoms, written as CIF:
```
data_ZrCoP2
_chemical_formula_sum 'Zr1 Co1 P2'
_symmetry_space_group_name_H-M 'P 4 m m'
_symmetry_Int_Tables_number 99
_cell_length_a 3.373
_cell_length_b 3.373
_cell_length_c 5.304
_cell_angle_alpha 90.00
_cell_angle_beta 90.00
_cell_angle_gamma 90.00
loop_
_symmetry_equiv_pos_as_xyz
'x,y,z'
'-y,x,z'
'-x,-y,z'
'y,-x,z'
'-x,y,z'
'y,x,z'
'x,-y,z'
'-y,-x,z'
loop_
_atom_site_label
_atom_site_fract_x
_atom_site_fract_y
_atom_site_fract_z
Zr1 0.000 0.000 0.000
Co1 0.500 0.500 0.380
P1 0.000 0.000 0.490
P2 0.500 0.500 0.811
```

Computed properties:
Relative energy among the computed polymorphs: 168 meV per atom
ΔH_f (0 K): -556 meV per atom
Calculated density: 5.84 g cm⁻³

=====

The following is a DFT calculation (GGA-PBE) of a geometry-optimized PmCuNi4 structure.

Cell and atoms, written as CIF:
```
data_PmCuNi4
_chemical_formula_sum 'Pm4 Cu4 Ni16'
_symmetry_space_group_name_H-M 'F -4 3 m'
_symmetry_Int_Tables_number 216
_symmetry_space_group_name_Hall 'F -4 2 3'
_cell_length_a 6.951
_cell_length_b 6.951
_cell_length_c 6.951
_cell_angle_alpha 90.00
_cell_angle_beta 90.00
_cell_angle_gamma 90.00
loop_
_atom_site_label
_atom_site_fract_x
_atom_site_fract_y
_atom_site_fract_z
Pm1 0.000 0.000 0.000
Cu1 0.250 0.250 0.750
Ni1 0.124 0.124 0.376
```

Computed properties:
Relative energy among the computed polymorphs: 0 meV per atom
ΔH_f (0 K): -211 meV per atom
Calculated density: 8.77 g cm⁻³

=====

The following is a DFT calculation (GGA-PBE) of a geometry-optimized LiFe6Pd12 structure.

Cell and atoms, written as CIF:
```
data_LiFe6Pd12
_chemical_formula_sum 'Li3 Fe18 Pd36'
_symmetry_space_group_name_H-M 'R -3'
_symmetry_Int_Tables_number 148
_symmetry_space_group_name_Hall '-R 3'
_cell_length_a 11.9148
_cell_length_b 11.9148
_cell_length_c 6.6848
_cell_angle_alpha 90.00
_cell_angle_beta 90.00
_cell_angle_gamma 120.00
loop_
_atom_site_label
_atom_site_fract_x
_atom_site_fract_y
_atom_site_fract_z
Li1 0.0000 0.0000 0.0000
Fe1 0.0300 0.7536 0.3339
Pd1 0.0093 0.8693 0.6638
Pd2 0.0651 0.5059 0.6720
```

Computed properties:
Relative energy among the computed polymorphs: 0 meV per atom
ΔH_f (0 K): -103 meV per atom
Calculated density: 9.81 g cm⁻³